A plane-wave DFT calculation with GGA-PBE was carried out for a relaxed structure of CrHPd3.

Lattice parameters (Å, degrees): 7.3519 4.6013 9.3880 90.00 128.59 90.00
Positions (direct):
Cr (0.0973, 0.1639, 0.0776)
Cr (0.0973, 0.3361, 0.5776)
Cr (0.9027, 0.6639, 0.4224)
Cr (0.9027, 0.8361, 0.9224)
H (0.3828, 0.5262, 0.8152)
H (0.3828, 0.9738, 0.3152)
H (0.6172, 0.0262, 0.6848)
H (0.6172, 0.4738, 0.1848)
Pd (0.1162, 0.7297, 0.2761)
Pd (0.1162, 0.7703, 0.7761)
Pd (0.3616, 0.2475, 0.9680)
Pd (0.3616, 0.2525, 0.4680)
Pd (0.3666, 0.7156, 0.1504)
Pd (0.3666, 0.7844, 0.6504)
Pd (0.6334, 0.2156, 0.3496)
Pd (0.6334, 0.2844, 0.8496)
Pd (0.6384, 0.7475, 0.5320)
Pd (0.6384, 0.7525, 0.0320)
Pd (0.8838, 0.2297, 0.2239)
Pd (0.8838, 0.2703, 0.7239)

Results
Space-group type   P2_1/c (14)
Total magnetization   0.00 Bohr magnetons per cell
E   -5.666 eV/atom


A plane-wave DFT calculation with GGA-PBE was carried out for a relaxed structure of ErGa4Bi.

Lattice parameters (Å, degrees): 5.6447 5.6447 5.6447 60.00 60.00 60.00
Positions (direct):
Er (0.0000, 0.0000, 0.0000)
Ga (0.3748, 0.3748, 0.3748)
Ga (0.3748, 0.3748, 0.8757)
Ga (0.3748, 0.8757, 0.3748)
Ga (0.8757, 0.3748, 0.3748)
Bi (0.7500, 0.7500, 0.7500)

Results
Space-group type   F-43m (216)
Total magnetization   0.00 Bohr magnetons per cell
Formation energy from the elements   -116 kJ/mol of formula units
E   -3.626 eV/atom


A plane-wave DFT calculation with GGA-PBE was carried out for a relaxed structure of K3Rb4LiCl8.

Lattice parameters (Å, degrees): 9.0957 9.0957 9.0485 119.70 119.70 59.37
Positions (direct):
K (0.0000, 0.0000, 0.0000)
K (0.0000, 0.5000, 0.0000)
K (0.5000, 0.0000, 0.0000)
Rb (0.0000, 0.0000, 0.5000)
Rb (0.0000, 0.5000, 0.5000)
Rb (0.5000, 0.0000, 0.5000)
Rb (0.5000, 0.5000, 0.5000)
Li (0.5000, 0.5000, 0.0000)
Cl (0.2456, 0.2456, 0.2365)
Cl (0.2506, 0.2506, 0.7594)
Cl (0.2706, 0.7221, 0.2144)
Cl (0.2779, 0.7294, 0.7856)
Cl (0.7221, 0.2706, 0.2144)
Cl (0.7294, 0.2779, 0.7856)
Cl (0.7494, 0.7494, 0.2406)
Cl (0.7544, 0.7544, 0.7635)

Results
Space-group type   C2/m (12)
Total magnetization   0.00 Bohr magnetons per cell
Formation energy without anion corrections   -1886 meV per atom
E   -3.376 eV/atom


A plane-wave DFT calculation with GGA-PBE was carried out for a relaxed structure of NdPtAu.

Lattice parameters (Å, degrees): 4.6609 4.6609 3.6570 90.00 90.00 120.00
Positions (direct):
Nd (0.0000, 0.0000, 0.0000)
Pt (0.6667, 0.3333, 0.5000)
Au (0.3333, 0.6667, 0.5000)

Results
Space-group type   P-6m2 (187)
Total magnetization   0.00 Bohr magnetons per cell
Formation energy from the elements   -239 kJ/mol of formula units
E   -5.522 eV/atom


A plane-wave DFT calculation with GGA-PBE was carried out for a relaxed structure of PtSeBr.

Lattice parameters (Å, degrees): 3.8048 3.8048 5.5983 90.00 90.00 120.00
Positions (direct):
Pt (0.0000, 0.0000, 0.0000)
Se (0.6667, 0.3333, 0.2184)
Br (0.3333, 0.6667, 0.7123)

Results
Space-group type   P3m1 (156)
Total magnetization   0.00 Bohr magnetons per cell
Formation energy without anion corrections   -154 meV per atom
E   -3.887 eV/atom


A plane-wave DFT calculation with GGA-PBE was carried out for a relaxed structure of SrLaRe2S.

Lattice parameters (Å, degrees): 4.5698 4.5698 5.3598 90.00 90.00 90.00
Positions (direct):
Sr (0.0000, 0.0000, 0.0000)
La (0.5000, 0.5000, 0.0000)
Re (0.0000, 0.5000, 0.5000)
Re (0.5000, 0.0000, 0.5000)
S (0.5000, 0.5000, 0.5000)

Results
Space-group type   P4/mmm (123)
Total magnetization   0.00 Bohr magnetons per cell
Formation energy without anion corrections   472 meV per atom
E   -6.655 eV/atom


A plane-wave DFT calculation with GGA-PBE was carried out for a relaxed structure of NaHfCl4.

Lattice parameters (Å, degrees): 6.6054 6.6054 6.6054 113.11 113.11 102.41
Positions (direct):
Na (0.0000, 0.0000, 0.0000)
Hf (0.7500, 0.2500, 0.5000)
Cl (0.0412, 0.5762, 0.9447)
Cl (0.4238, 0.3685, 0.4650)
Cl (0.6315, 0.0965, 0.0553)
Cl (0.9035, 0.9588, 0.5350)

Results
Space-group type   I-4 (82)
Total magnetization   1.00 Bohr magnetons per cell
Formation energy without anion corrections   -1529 meV per atom
E   -4.638 eV/atom


A plane-wave DFT calculation with GGA-PBE was carried out for a relaxed structure of Th3FeAs.

Lattice parameters (Å, degrees): 6.8864 6.8910 8.0567 64.75 90.00 60.07
Positions (direct):
Th (0.0674, 0.2020, 0.2227)
Th (0.2698, 0.1559, 0.7758)
Th (0.4245, 0.5083, 0.2226)
Th (0.5755, 0.4917, 0.7774)
Th (0.7302, 0.8441, 0.2242)
Th (0.9326, 0.7980, 0.7773)
Fe (0.3379, 0.3242, 0.0131)
Fe (0.6621, 0.6758, 0.9869)
As (0.1600, 0.6806, 0.4800)
As (0.8400, 0.3194, 0.5200)

Results
Space-group type   P-1 (2)
Total magnetization   0.00 Bohr magnetons per cell
Formation energy from the elements   -180 kJ/mol of formula units
E   -7.447 eV/atom


A plane-wave DFT calculation with GGA-PBE was carried out for a relaxed structure of ErSiNi6.

Lattice parameters (Å, degrees): 5.0213 5.0213 5.0213 73.00 73.00 73.00
Positions (direct):
Er (0.0000, 0.0000, 0.0000)
Si (0.5000, 0.5000, 0.5000)
Ni (0.0298, 0.6362, 0.6362)
Ni (0.3638, 0.3638, 0.9702)
Ni (0.3638, 0.9702, 0.3638)
Ni (0.6362, 0.0298, 0.6362)
Ni (0.6362, 0.6362, 0.0298)
Ni (0.9702, 0.3638, 0.3638)

Results
Space-group type   R-3m (166)
Total magnetization   0.00 Bohr magnetons per cell
Formation energy without anion corrections   -82 meV per atom
E   -5.666 eV/atom


A plane-wave DFT calculation with GGA-PBE was carried out for a relaxed structure of NbGaReRu.

Lattice parameters (Å, degrees): 4.4320 4.4320 4.4320 60.00 60.00 60.00
Positions (direct):
Nb (0.0000, 0.0000, 0.0000)
Ga (0.5000, 0.5000, 0.5000)
Re (0.2500, 0.2500, 0.2500)
Ru (0.7500, 0.7500, 0.7500)

Results
Space-group type   F-43m (216)
Total magnetization   0.00 Bohr magnetons per cell
Formation energy from the elements   -74 kJ/mol of formula units
E   -8.897 eV/atom


A plane-wave DFT calculation with GGA-PBE was carried out for a relaxed structure of TbPm2Gd.

Lattice parameters (Å, degrees): 5.1082 5.1082 5.0969 90.00 90.00 90.00
Positions (direct):
Tb (0.0000, 0.0000, 0.0000)
Pm (0.0000, 0.5000, 0.5000)
Pm (0.5000, 0.0000, 0.5000)
Gd (0.5000, 0.5000, 0.0000)

Results
Space-group type   P4/mmm (123)
Total magnetization   7.24 Bohr magnetons per cell
Formation energy from the elements   5 kJ/mol of formula units
E   -7.040 eV/atom


A plane-wave DFT calculation with GGA-PBE was carried out for a relaxed structure of La2USi4Pt3.

Lattice parameters (Å, degrees): 4.3145 4.3145 10.8414 90.00 90.00 90.00
Positions (direct):
La (0.0000, 0.5000, 0.2330)
La (0.5000, 0.0000, 0.7670)
U (0.0000, 0.0000, 0.5000)
Si (0.0000, 0.0000, 0.0000)
Si (0.0000, 0.5000, 0.6665)
Si (0.5000, 0.0000, 0.3335)
Si (0.5000, 0.5000, 0.0000)
Pt (0.0000, 0.5000, 0.8925)
Pt (0.5000, 0.0000, 0.1075)
Pt (0.5000, 0.5000, 0.5000)

Results
Space-group type   P-4m2 (115)
Total magnetization   2.05 Bohr magnetons per cell
Formation energy without anion corrections   -846 meV per atom
E   -6.942 eV/atom


A plane-wave DFT calculation with GGA-PBE was carried out for a relaxed structure of LaGd2Y.

Lattice parameters (Å, degrees): 5.7667 5.7667 5.7667 60.00 60.00 60.00
Positions (direct):
La (0.0000, 0.0000, 0.0000)
Gd (0.2500, 0.2500, 0.2500)
Gd (0.7500, 0.7500, 0.7500)
Y (0.5000, 0.5000, 0.5000)

Results
Space-group type   Fm-3m (225)
Total magnetization   16.39 Bohr magnetons per cell
Formation energy from the elements   37 kJ/mol of formula units
E   -9.793 eV/atom


A plane-wave DFT calculation with GGA-PBE was carried out for a relaxed structure of Al12Ag17.

Lattice parameters (Å, degrees): 8.6764 8.6764 8.6764 109.47 109.47 109.47
Positions (direct):
Al (0.0000, 0.6205, 0.8095)
Al (0.0000, 0.8095, 0.6205)
Al (0.1890, 0.3795, 0.3795)
Al (0.1905, 0.1905, 0.8110)
Al (0.1905, 0.8110, 0.1905)
Al (0.3795, 0.1890, 0.3795)
Al (0.3795, 0.3795, 0.1890)
Al (0.6205, 0.0000, 0.8095)
Al (0.6205, 0.8095, 0.0000)
Al (0.8095, 0.0000, 0.6205)
Al (0.8095, 0.6205, 0.0000)
Al (0.8110, 0.1905, 0.1905)
Ag (0.0000, 0.0000, 0.0000)
Ag (0.0000, 0.0000, 0.3292)
Ag (0.0000, 0.3133, 0.5945)
Ag (0.0000, 0.3292, 0.0000)
Ag (0.0000, 0.5945, 0.3133)
Ag (0.2813, 0.6867, 0.6867)
Ag (0.3133, 0.0000, 0.5945)
Ag (0.3133, 0.5945, 0.0000)
Ag (0.3292, 0.0000, 0.0000)
Ag (0.4055, 0.4055, 0.7187)
Ag (0.4055, 0.7187, 0.4055)
Ag (0.5945, 0.0000, 0.3133)
Ag (0.5945, 0.3133, 0.0000)
Ag (0.6708, 0.6708, 0.6708)
Ag (0.6867, 0.2813, 0.6867)
Ag (0.6867, 0.6867, 0.2813)
Ag (0.7187, 0.4055, 0.4055)

Results
Space-group type   I-43m (217)
Total magnetization   0.00 Bohr magnetons per cell
Formation energy from the elements   -30 kJ/mol of formula units
E   -3.231 eV/atom


A plane-wave DFT calculation with GGA-PBE was carried out for a relaxed structure of Li2SbTe.

Lattice parameters (Å, degrees): 5.2026 5.2026 3.5001 90.40 90.40 106.15
Positions (direct):
Li (0.0000, 0.5000, 0.0000)
Li (0.5000, 0.0000, 0.0000)
Sb (0.0000, 0.0000, 0.5000)
Te (0.5000, 0.5000, 0.5000)

Results
Space-group type   C2/m (12)
Total magnetization   0.00 Bohr magnetons per cell
Formation energy without anion corrections   -485 meV per atom
E   -3.258 eV/atom


A plane-wave DFT calculation with GGA-PBE was carried out for a relaxed structure of TaHg2Te.

Lattice parameters (Å, degrees): 5.4100 5.4100 5.9635 117.33 117.33 38.19
Positions (direct):
Ta (0.0000, 0.0000, 0.0000)
Hg (0.2882, 0.2882, 0.5668)
Hg (0.5154, 0.5154, 0.3966)
Te (0.7013, 0.7013, 0.9800)

Results
Space-group type   Cm (8)
Total magnetization   0.00 Bohr magnetons per cell
Formation energy without anion corrections   257 meV per atom
E   -3.643 eV/atom


A plane-wave DFT calculation with GGA-PBE was carried out for a relaxed structure of AgSeBr2Cl.

Lattice parameters (Å, degrees): 5.2726 5.2726 5.0728 90.00 90.00 90.00
Positions (direct):
Ag (0.0000, 0.0000, 0.0000)
Se (0.5000, 0.5000, 0.0000)
Br (0.0000, 0.5000, 0.5000)
Br (0.5000, 0.0000, 0.5000)
Cl (0.5000, 0.5000, 0.5000)

Results
Space-group type   P4/mmm (123)
Total magnetization   0.00 Bohr magnetons per cell
Formation energy without anion corrections   594 meV per atom
E   -1.711 eV/atom


A plane-wave DFT calculation with GGA-PBE was carried out for a relaxed structure of HoTmGa2.

Lattice parameters (Å, degrees): 8.9092 8.9092 8.9092 23.30 23.30 23.30
Positions (direct):
Ho (0.0000, 0.0000, 0.0000)
Tm (0.5000, 0.5000, 0.5000)
Ga (0.2494, 0.2494, 0.2494)
Ga (0.7506, 0.7506, 0.7506)

Results
Space-group type   R-3m (166)
Total magnetization   0.00 Bohr magnetons per cell
Formation energy from the elements   -165 kJ/mol of formula units
E   -4.202 eV/atom


A plane-wave DFT calculation with GGA-PBE was carried out for a relaxed structure of Pm2I2Cl.

Lattice parameters (Å, degrees): 7.3195 7.3195 8.6208 113.26 113.26 49.76
Positions (direct):
Pm (0.0130, 0.0130, 0.2813)
Pm (0.3332, 0.3332, 0.4294)
Pm (0.6668, 0.6668, 0.5706)
Pm (0.9870, 0.9870, 0.7187)
I (0.2062, 0.2062, 0.6694)
I (0.4634, 0.4634, 0.1918)
I (0.5366, 0.5366, 0.8082)
I (0.7938, 0.7938, 0.3306)
Cl (0.1429, 0.1429, 0.0982)
Cl (0.8571, 0.8571, 0.9018)

Results
Space-group type   C2/m (12)
Total magnetization   0.00 Bohr magnetons per cell
Formation energy without anion corrections   -1307 meV per atom
E   -4.196 eV/atom


A plane-wave DFT calculation with GGA-PBE was carried out for a relaxed structure of Li12Se3F5.

Lattice parameters (Å, degrees): 11.4589 11.4589 11.4589 109.47 109.47 109.47
Positions (direct):
Li (0.0231, 0.2052, 0.1226)
Li (0.0231, 0.3179, 0.9005)
Li (0.0826, 0.7052, 0.6821)
Li (0.0826, 0.8774, 0.4005)
Li (0.0995, 0.6226, 0.4174)
Li (0.0995, 0.9769, 0.6821)
Li (0.1226, 0.0231, 0.2052)
Li (0.1226, 0.5995, 0.9174)
Li (0.1821, 0.2052, 0.5826)
Li (0.1821, 0.4769, 0.5995)
Li (0.2052, 0.1226, 0.0231)
Li (0.2052, 0.5826, 0.1821)
Li (0.2948, 0.3179, 0.9174)
Li (0.2948, 0.4769, 0.3774)
Li (0.3179, 0.9005, 0.0231)
Li (0.3179, 0.9174, 0.2948)
Li (0.3774, 0.2948, 0.4769)
Li (0.3774, 0.5826, 0.9005)
Li (0.4005, 0.0826, 0.8774)
Li (0.4005, 0.8179, 0.5231)
Li (0.4174, 0.0995, 0.6226)
Li (0.4174, 0.8179, 0.7948)
Li (0.4769, 0.3774, 0.2948)
Li (0.4769, 0.5995, 0.1821)
Li (0.5231, 0.4005, 0.8179)
Li (0.5231, 0.6226, 0.7052)
Li (0.5826, 0.1821, 0.2052)
Li (0.5826, 0.9005, 0.3774)
Li (0.5995, 0.1821, 0.4769)
Li (0.5995, 0.9174, 0.1226)
Li (0.6226, 0.4174, 0.0995)
Li (0.6226, 0.7052, 0.5231)
Li (0.6821, 0.0826, 0.7052)
Li (0.6821, 0.0995, 0.9769)
Li (0.7052, 0.5231, 0.6226)
Li (0.7052, 0.6821, 0.0826)
Li (0.7948, 0.4174, 0.8179)
Li (0.7948, 0.8774, 0.9769)
Li (0.8179, 0.5231, 0.4005)
Li (0.8179, 0.7948, 0.4174)
Li (0.8774, 0.4005, 0.0826)
Li (0.8774, 0.9769, 0.7948)
Li (0.9005, 0.0231, 0.3179)
Li (0.9005, 0.3774, 0.5826)
Li (0.9174, 0.1226, 0.5995)
Li (0.9174, 0.2948, 0.3179)
Li (0.9769, 0.6821, 0.0995)
Li (0.9769, 0.7948, 0.8774)
Se (0.1250, 0.2500, 0.3750)
Se (0.1250, 0.3750, 0.7500)
Se (0.2500, 0.3750, 0.1250)
Se (0.2500, 0.8750, 0.6250)
Se (0.3750, 0.1250, 0.2500)
Se (0.3750, 0.7500, 0.1250)
Se (0.6250, 0.2500, 0.8750)
Se (0.6250, 0.8750, 0.7500)
Se (0.7500, 0.1250, 0.3750)
Se (0.7500, 0.6250, 0.8750)
Se (0.8750, 0.6250, 0.2500)
Se (0.8750, 0.7500, 0.6250)
F (0.0000, 0.0000, 0.0000)
F (0.0000, 0.0000, 0.5000)
F (0.0000, 0.5000, 0.0000)
F (0.0000, 0.5000, 0.5000)
F (0.1250, 0.7500, 0.8750)
F (0.1250, 0.8750, 0.2500)
F (0.2500, 0.1250, 0.8750)
F (0.2500, 0.6250, 0.3750)
F (0.3750, 0.2500, 0.6250)
F (0.3750, 0.6250, 0.7500)
F (0.5000, 0.0000, 0.0000)
F (0.5000, 0.0000, 0.5000)
F (0.5000, 0.5000, 0.0000)
F (0.5000, 0.5000, 0.5000)
F (0.6250, 0.3750, 0.2500)
F (0.6250, 0.7500, 0.3750)
F (0.7500, 0.3750, 0.6250)
F (0.7500, 0.8750, 0.1250)
F (0.8750, 0.1250, 0.7500)
F (0.8750, 0.2500, 0.1250)

Results
Space-group type   Ia-3d (230)
Total magnetization   0.00 Bohr magnetons per cell
Formation energy without anion corrections   -1909 meV per atom
E   -4.048 eV/atom